Material: Sr2TaTl
Method: DFT, PBE
State: optimized geometry

extended XYZ file:
```
4
Lattice="3.413 0.000 0.000 0.000 5.133 0.000 0.000 0.000 6.811" Properties=species:S:1:pos:R:3 pbc="T T T"
Sr 0.000 0.000 0.027
Sr 0.000 0.000 3.379
Ta 1.707 2.566 1.703
Tl 1.707 2.566 5.108
```

Results
As for the symmetry: Pmmm (47). As for the total energy: -15.0 eV/cell. As for the magnetic moment: 1.19 Bohr magnetons per cell. Its formation energy is 0.6384 eV per atom. For the calculated density, the calculation gives 7.80 Mg/m³.